1.
DFT (PBE) results for a geometry-optimized LiNd2Br6 structure.

Structure (extended XYZ):
```
9
Lattice="-1.753 -4.746 -2.909 6.542 -0.769 3.165 -6.275 -1.364 6.008" Properties=species:S:1:pos:R:3 pbc="T T T"
Li -3.138 -0.682 3.004
Nd -3.012 -5.546 5.009
Nd 1.525 -1.333 1.255
Br -0.165 -6.571 4.965
Br 0.441 -3.596 -0.253
Br -1.928 -3.283 6.517
Br -2.915 -4.126 2.633
Br 1.429 -2.753 3.630
Br -1.322 -0.308 1.298
```

Summary:
The uncorrected formation energy is -1.645 eV per atom. For the total energy, the calculation gives -4.032 eV per atom. Its energy above the most stable polymorph in this dataset is 0.49 eV per formula unit.

=====

2.
DFT (PBE) results for a geometry-optimized LiNdPbBr6 structure.

Structure (extended XYZ):
```
18
Lattice="7.232 0.000 0.000 -3.616 6.263 0.000 0.000 0.000 13.309" Properties=species:S:1:pos:R:3 pbc="T T T"
Li 0.000 4.175 3.327
Li 3.616 2.088 9.982
Nd 3.616 2.088 3.327
Nd 0.000 4.175 9.982
Pb 0.000 0.000 0.000
Pb 0.000 0.000 6.654
Br 2.273 4.103 1.718
Br -1.199 2.243 1.718
Br 2.542 0.083 8.373
Br 4.815 4.020 11.590
Br 1.199 2.243 4.936
Br -2.273 4.103 4.936
Br 4.690 0.083 11.590
Br 1.074 6.180 4.936
Br 5.889 2.160 8.373
Br -1.074 6.180 1.718
Br 2.417 4.020 8.373
Br 1.343 2.160 11.590
```

Summary:
The uncorrected formation energy is -1.457 eV per atom. For the total energy, the calculation gives -3.727 eV per atom.

=====

3.
DFT (PBE) results for a geometry-optimized Rb2Li2NdBr6 structure.

Structure (extended XYZ):
```
11
Lattice="7.665 0.000 0.000 -3.832 6.538 -0.079 0.000 -3.881 8.188" Properties=species:S:1:pos:R:3 pbc="T T T"
Rb 3.832 1.945 1.373
Rb 0.000 0.712 6.736
Li 3.832 3.258 5.467
Li 0.000 -0.601 2.642
Nd 3.832 -1.941 4.094
Br 3.832 0.895 4.719
Br -1.791 5.022 1.585
Br 2.041 -2.365 6.524
Br 5.624 -2.365 6.524
Br 1.791 5.022 1.585
Br 0.000 1.762 3.390
```

Summary:
The uncorrected formation energy is -1.558 eV per atom. For the total energy, the calculation gives -3.427 eV per atom.